First-principles (GGA-PBE) data for a relaxed TmZn12Pt6 crystal, as listed in Alexandria via LeMat-Bulk.

Lattice parameters (Å, degrees): 7.1832 7.1832 7.1832 105.43 105.43 105.43
Positions (direct):
Zn (0.5000, 0.8899, 0.1101)
Zn (0.1101, 0.5000, 0.8899)
Zn (0.8899, 0.1101, 0.5000)
Zn (0.3838, 0.3838, 0.1381)
Zn (0.3838, 0.1381, 0.3838)
Zn (0.6162, 0.8619, 0.6162)
Zn (0.8619, 0.6162, 0.6162)
Zn (0.8899, 0.5000, 0.1101)
Zn (0.1101, 0.8899, 0.5000)
Zn (0.5000, 0.1101, 0.8899)
Zn (0.1381, 0.3838, 0.3838)
Zn (0.6162, 0.6162, 0.8619)
Pt (0.2833, 0.7121, 0.2833)
Pt (0.2833, 0.2833, 0.7121)
Pt (0.2879, 0.7167, 0.7167)
Pt (0.7167, 0.7167, 0.2879)
Pt (0.7167, 0.2879, 0.7167)
Pt (0.7121, 0.2833, 0.2833)
Tm (0.0000, 0.0000, 0.0000)

Results
Calculated density ... 10.99 Mg/m³
Raw total energy ... -3.314 eV per atom
Energy of formation from the pure elements ... -0.37 eV/atom